Entry 1:
## K2TaCl6 (meta-GGA SCAN)

Data for a PBEsol-optimized structure of K2TaCl6.

Values from the calculation:
Formation energy from raw total energies ... -16.01 eV per formula unit

Cell: 6.9228 6.9228 6.9228 Å, 60.00 60.00 60.00°
With the nearest neighbours (Å) after each atom.
Atoms (fractional coordinates):
K  0.2500  0.2500  0.2500  12 Cl 3.46
K  0.7500  0.7500  0.7500  12 Cl 3.46
Ta  0.0000  0.0000  0.0000  6 Cl 2.39
Cl  0.2445  0.2445  0.7555  1 Ta 2.39
Cl  0.2445  0.7555  0.2445  1 Ta 2.39
Cl  0.2445  0.7555  0.7555  1 Ta 2.39
Cl  0.7555  0.2445  0.2445  1 Ta 2.39
Cl  0.7555  0.2445  0.7555  1 Ta 2.39
Cl  0.7555  0.7555  0.2445  1 Ta 2.39

=====

Entry 2:
## BaSrMnPd2 (meta-GGA SCAN)

Data for a PBEsol-optimized structure of BaSrMnPd2.

Values from the calculation:
Energy of formation ... 0.17 eV per atom

Cell: 4.9553 4.9553 5.1926 Å, 90.00 90.00 90.00°
With the nearest neighbours (Å) after each atom.
Atoms (fractional coordinates):
Ba  0.0000  0.0000  0.0000  2 Mn 2.60
Sr  0.5000  0.5000  0.0000  4 Ba 3.50, 8 Pd 3.59
Mn  0.0000  0.0000  0.5000  4 Pd 2.48, 2 Ba 2.60
Pd  0.0000  0.5000  0.5000  2 Mn 2.48
Pd  0.5000  0.0000  0.5000  2 Mn 2.48

=====

Entry 3:
## Nd3Ti3Se2O8 (meta-GGA SCAN)

Data for a PBEsol-optimized structure of Nd3Ti3Se2O8.

Values from the calculation:
Formation energy from raw total energies ... -52.08 eV per formula unit

Cell: 9.7559 3.9268 13.3782 Å, 90.00 111.35 90.00°
With the nearest neighbours (Å) after each atom.
Atoms (fractional coordinates):
Nd  0.1099  0.2500  0.1634  3 O 2.30-2.44
Nd  0.1766  0.2500  0.5858  7 O 2.37-2.59
Nd  0.3297  0.2500  0.9159  4 O 2.38-2.42
Nd  0.6703  0.7500  0.0841  4 O 2.38-2.42
Nd  0.8234  0.7500  0.4142  7 O 2.37-2.59
Nd  0.8901  0.7500  0.8366  3 O 2.30-2.44
Ti  0.2216  0.7500  0.4025  4 O 1.79-2.00
Ti  0.4468  0.7500  0.7664  5 O 1.84-2.00
Ti  0.4487  0.2500  0.4084  6 O 1.93-2.07
Ti  0.5513  0.7500  0.5916  6 O 1.93-2.07
Ti  0.5532  0.2500  0.2336  5 O 1.84-2.00
Ti  0.7784  0.2500  0.5975  4 O 1.79-2.00
Se  0.1382  0.7500  0.7466  1 Ti 2.93, 5 Nd 3.03-3.07, 3 O 3.20-3.22
Se  0.1807  0.7500  0.0192  5 Nd 2.99-3.06
Se  0.8193  0.2500  0.9808  5 Nd 2.99-3.06
Se  0.8618  0.2500  0.2534  1 Ti 2.93, 5 Nd 3.03-3.07, 3 O 3.20-3.22
O  0.0834  0.7500  0.4703  1 Ti 1.88
O  0.1379  0.7500  0.2590  1 Ti 1.79
O  0.2517  0.2500  0.4275  3 Ti 2.00-2.03
O  0.3582  0.7500  0.6058  2 Ti 1.96-2.00
O  0.3765  0.2500  0.2534  2 Ti 1.84-1.93
O  0.4038  0.2500  0.7617  2 Ti 2.00
O  0.4392  0.7500  0.4275  4 Ti 1.99-2.07
O  0.4729  0.7500  0.9145  1 Ti 1.90
O  0.5271  0.2500  0.0855  1 Ti 1.90
O  0.5608  0.2500  0.5725  4 Ti 1.99-2.07
O  0.5962  0.7500  0.2383  2 Ti 2.00
O  0.6235  0.7500  0.7466  2 Ti 1.84-1.93
O  0.6418  0.2500  0.3942  2 Ti 1.96-2.00
O  0.7483  0.7500  0.5725  3 Ti 2.00-2.03
O  0.8621  0.2500  0.7410  1 Ti 1.79
O  0.9166  0.2500  0.5297  1 Ti 1.88

=====

Entry 4:
## YAuCl2 (meta-GGA SCAN)

Data for a PBEsol-optimized structure of YAuCl2.

Values from the calculation:
Formation energy from raw total energies ... -5.27 eV per formula unit

Cell: 5.0999 5.0999 5.0999 Å, 127.47 127.47 77.49°
With the nearest neighbours (Å) after each atom.
Atoms (fractional coordinates):
Y  0.0000  0.0000  0.0000  8 Cl 3.01-3.19, 4 Au 3.01
Au  0.7500  0.2500  0.5000  8 Cl 3.01-3.19, 4 Y 3.01
Cl  0.2500  0.7500  0.5000  4 Cl 3.01, 4 Y 3.01, 4 Au 3.19
Cl  0.5000  0.5000  0.0000  4 Cl 3.01, 4 Au 3.01, 4 Y 3.19

=====

Entry 5:
## Fe3Ir (meta-GGA SCAN)

Data for a PBEsol-optimized structure of Fe3Ir.

Values from the calculation:
Energy of formation ... -0.15 eV per atom

Cell: 2.5769 4.0467 4.7591 Å, 90.00 100.34 90.00°
With the nearest neighbours (Å) after each atom.
Atoms (fractional coordinates):
Fe  0.0000  0.0000  0.0000  6 Fe 2.45-2.58, 2 Ir 2.49
Fe  0.2278  0.5000  0.7577  6 Fe 2.45-2.58, 2 Ir 2.53
Fe  0.7722  0.5000  0.2423  6 Fe 2.45-2.58, 2 Ir 2.53
Ir  0.5000  0.0000  0.5000  6 Fe 2.49-2.53, 2 Ir 2.58

=====

Entry 6:
## RbMnAlOs2 (meta-GGA SCAN)

Data for a PBEsol-optimized structure of RbMnAlOs2.

Values from the calculation:
Energy of formation ... 1.36 eV per atom

Cell: 4.5180 4.5180 4.7191 Å, 90.00 90.00 90.00°
With the nearest neighbours (Å) after each atom.
Atoms (fractional coordinates):
Rb  0.0000  0.0000  0.0000  4 Al 3.19, 8 Os 3.27
Mn  0.5000  0.5000  0.5000  4 Os 2.26, 2 Al 2.36
Al  0.5000  0.5000  0.0000  2 Mn 2.36
Os  0.0000  0.5000  0.5000  2 Mn 2.26
Os  0.5000  0.0000  0.5000  2 Mn 2.26

=====

Calculated electronic total energy, -147.12, -144.77, -641.85, -118.23, -126.09, -183.73 eV per cell (same order as the records).
Calculated density, 3.34, 6.42, 6.00, 7.31, 12.24, 9.44 g/cm3 (same order as the records).